[1]
Density functional theory data (PBE-GGA) for a geometry-optimized CaOsRuSe2 structure.

Summary:
Offset from the most stable computed form = 0 meV/atom
Formation energy without anion corrections = 35.1 kJ per mole of atoms
Magnetic moment = 0.7 μB/f.u.

Cell and atoms, written as CIF:
```
data_CaOsRuSe2
_cell_length_a 4.981
_cell_length_b 4.981
_cell_length_c 4.753
_cell_angle_alpha 90.00
_cell_angle_beta 90.00
_cell_angle_gamma 90.00
_space_group_name_H-M_alt 'P 4/m m m'
_space_group_IT_number 123
_space_group_name_Hall '-P 4 2'
loop_
_atom_site_label
_atom_site_fract_x
_atom_site_fract_y
_atom_site_fract_z
_atom_site_occupancy
Ca1 0.000 0.000 0.000 1
Os1 0.500 0.500 0.500 1
Ru1 0.500 0.500 0.000 1
Se1 0.000 0.500 0.500 1
```

[2]
Density functional theory data (PBE-GGA) for a geometry-optimized Ca2NdSe4 structure.

Summary:
Formation energy without anion corrections = -162.7 kJ per mole of atoms
Magnetic moment = 0.0 μB/f.u.

Cell and atoms, written as CIF:
```
data_Ca2NdSe4
_cell_length_a 4.109
_cell_length_b 14.307
_cell_length_c 13.373
_cell_angle_alpha 90.00
_cell_angle_beta 90.00
_cell_angle_gamma 90.00
_space_group_name_H-M_alt 'C m c m'
_space_group_IT_number 63
_space_group_name_Hall '-C 2c 2'
loop_
_atom_site_label
_atom_site_fract_x
_atom_site_fract_y
_atom_site_fract_z
_atom_site_occupancy
Ca1 0.000 0.130 0.067 1
Nd1 0.000 0.380 0.250 1
Se1 0.000 0.025 0.250 1
Se2 0.000 0.228 0.627 1
Se3 0.000 0.500 0.000 1
```

[3]
Density functional theory data (PBE-GGA) for a geometry-optimized TaFeTe4 structure.

Summary:
Offset from the most stable computed form = 1512 meV/atom
Formation energy without anion corrections = 136.0 kJ per mole of atoms
Magnetic moment = 1.2 μB/f.u.

Cell and atoms, written as CIF:
```
data_TaFeTe4
_cell_length_a 8.644
_cell_length_b 8.644
_cell_length_c 8.644
_cell_angle_alpha 90.00
_cell_angle_beta 90.00
_cell_angle_gamma 90.00
_space_group_name_H-M_alt 'F -4 3 m'
_space_group_IT_number 216
_space_group_name_Hall 'F -4 2 3'
loop_
_atom_site_label
_atom_site_fract_x
_atom_site_fract_y
_atom_site_fract_z
_atom_site_occupancy
Ta1 0.000 0.000 0.000 1
Fe1 0.250 0.250 0.250 1
Te1 0.125 0.125 0.625 1
```